Record 1
# Tm2Al2Ge2C PBE-GGA optimized geometry
# Energy of formation from the pure elements, eV per atom: -0.5027
# Total moment, μB per cell: 0.0
data_Tm2Al2Ge2C
_cell_length_a 4.1150
_cell_length_b 4.1150
_cell_length_c 14.6746
_cell_angle_alpha 90.00
_cell_angle_beta 90.00
_cell_angle_gamma 90.00
_space_group_name_H-M_alt 'I 4/m m m'
_space_group_IT_number 139
_space_group_name_Hall '-I 4 2'
loop_
_atom_site_label
_atom_site_type_symbol
_atom_site_fract_x
_atom_site_fract_y
_atom_site_fract_z
Tm1 Tm 0.0000 0.0000 0.1610
Al1 Al 0.0000 0.5000 0.0000
Ge1 Ge 0.0000 0.0000 0.3661
C1 C 0.0000 0.0000 0.0000


Record 2
# Li2CoIr PBE-GGA optimized geometry
# ΔE to the lowest computed polymorph, eV/atom: 0.037
# Energy of formation from the pure elements, eV per atom: -0.0287
# Total moment, μB per cell: 4.0
data_Li2CoIr
_cell_length_a 2.6113
_cell_length_b 2.6113
_cell_length_c 26.5007
_cell_angle_alpha 90.00
_cell_angle_beta 90.00
_cell_angle_gamma 120.00
_space_group_name_H-M_alt 'R -3 m'
_space_group_IT_number 166
_space_group_name_Hall '-R 3 2"'
loop_
_atom_site_label
_atom_site_type_symbol
_atom_site_fract_x
_atom_site_fract_y
_atom_site_fract_z
Li1 Li 0.0000 0.0000 0.2493
Co1 Co 0.0000 0.0000 0.5000
Ir1 Ir 0.0000 0.0000 0.0000